Entry 1:
First-principles (PBE-GGA) data for an optimized crystal structure of AgGeTeO, as listed in OQMD.

Geometry as CIF:
```
data_AgGeTeO
_space_group_name_H-M_alt 'P 4/n m m'
_space_group_IT_number 129
_cell_length_a 5.510
_cell_length_b 5.510
_cell_length_c 6.395
_cell_angle_alpha 90.00
_cell_angle_beta 90.00
_cell_angle_gamma 90.00
loop_
_space_group_symop_operation_xyz
'x,y,z'
'-x,-y,-z'
'-y+1/2,x,z'
'y+1/2,-x,-z'
'-x+1/2,-y+1/2,z'
'x+1/2,y+1/2,-z'
'y,-x+1/2,z'
'-y,x+1/2,-z'
'x+1/2,-y,-z'
'-x+1/2,y,z'
'-y,-x,-z'
'y,x,z'
'-x,y+1/2,-z'
'x,-y+1/2,z'
'y+1/2,x+1/2,-z'
'-y+1/2,-x+1/2,z'
loop_
_atom_site_label
_atom_site_type_symbol
_atom_site_fract_x
_atom_site_fract_y
_atom_site_fract_z
Ag1 Ag 0.250 0.250 0.234
Ge1 Ge 0.250 0.250 0.825
Te1 Te 0.250 0.750 0.000
O1 O 0.250 0.250 0.561
```

E above lowest polymorph	1.25	eV/f.u.
crystal system	tetragonal

***

Entry 2:
First-principles (PBE-GGA) data for an optimized crystal structure of AgGeTeO, as listed in OQMD.

Geometry as CIF:
```
data_AgGeTeO
_space_group_name_H-M_alt 'P c a 21'
_space_group_IT_number 29
_cell_length_a 6.710
_cell_length_b 8.716
_cell_length_c 5.662
_cell_angle_alpha 90.00
_cell_angle_beta 90.00
_cell_angle_gamma 90.00
loop_
_space_group_symop_operation_xyz
'x,y,z'
'-x,-y,z+1/2'
'-x+1/2,y,z+1/2'
'x+1/2,-y,z'
loop_
_atom_site_label
_atom_site_type_symbol
_atom_site_fract_x
_atom_site_fract_y
_atom_site_fract_z
Ag1 Ag 0.223 0.130 0.000
Ge1 Ge 0.104 0.746 0.742
Te1 Te 0.004 0.357 0.716
O1 O 0.106 0.946 0.734
```

E above lowest polymorph	0.98	eV/f.u.
crystal system	orthorhombic

***

Entry 3:
First-principles (PBE-GGA) data for an optimized crystal structure of TmAgGeO3, as listed in OQMD.

Geometry as CIF:
```
data_TmAgGeO3
_space_group_name_H-M_alt 'C m c m'
_space_group_IT_number 63
_space_group_name_Hall '-C 2c 2'
_cell_length_a 3.110
_cell_length_b 15.679
_cell_length_c 7.905
_cell_angle_alpha 90.00
_cell_angle_beta 90.00
_cell_angle_gamma 90.00
loop_
_atom_site_label
_atom_site_type_symbol
_atom_site_fract_x
_atom_site_fract_y
_atom_site_fract_z
Tm1 Tm 0.000 0.000 0.000
Ag1 Ag 0.000 0.398 0.250
Ge1 Ge 0.000 0.191 0.250
O1 O 0.000 0.127 0.070
O2 O 0.000 0.246 0.750
```

raw total energy	-5.829	eV per atom
crystal system	orthorhombic

***

Entry 4:
First-principles (PBE-GGA) data for an optimized crystal structure of ZrAgGe2O7, as listed in OQMD.

Geometry as CIF:
```
data_ZrAgGe2O7
_space_group_name_H-M_alt 'C 1 2 1'
_space_group_IT_number 5
_cell_length_a 6.951
_cell_length_b 8.791
_cell_length_c 4.944
_cell_angle_alpha 90.00
_cell_angle_beta 103.09
_cell_angle_gamma 90.00
loop_
_space_group_symop_operation_xyz
'x,y,z'
'-x,y,-z'
'x+1/2,y+1/2,z'
'-x+1/2,y+1/2,-z'
loop_
_atom_site_label
_atom_site_type_symbol
_atom_site_fract_x
_atom_site_fract_y
_atom_site_fract_z
Zr1 Zr 0.000 0.000 0.000
Ag1 Ag 0.000 0.385 0.000
Ge1 Ge 0.212 0.674 0.415
O1 O 0.000 0.596 0.500
O2 O 0.102 0.188 0.277
O3 O 0.169 0.850 0.256
O4 O 0.247 0.032 0.818
```

raw total energy	-6.791	eV per atom
crystal system	monoclinic

***

Entry 5:
First-principles (PBE-GGA) data for an optimized crystal structure of AgGeOs, as listed in OQMD.

Geometry as CIF:
```
data_AgGeOs
_space_group_name_H-M_alt 'F -4 3 m'
_space_group_IT_number 216
_space_group_name_Hall 'F -4 2 3'
_cell_length_a 5.917
_cell_length_b 5.917
_cell_length_c 5.917
_cell_angle_alpha 90.00
_cell_angle_beta 90.00
_cell_angle_gamma 90.00
loop_
_atom_site_label
_atom_site_type_symbol
_atom_site_fract_x
_atom_site_fract_y
_atom_site_fract_z
Ag1 Ag 0.000 0.000 0.000
Ge1 Ge 0.250 0.250 0.250
Os1 Os 0.000 0.000 0.500
```

raw total energy	-5.690	eV per atom
crystal system	cubic

***

Entry 6:
First-principles (PBE-GGA) data for an optimized crystal structure of AgGe2Os, as listed in OQMD.

Geometry as CIF:
```
data_AgGe2Os
_space_group_name_H-M_alt 'F -4 3 m'
_space_group_IT_number 216
_space_group_name_Hall 'F -4 2 3'
_cell_length_a 6.445
_cell_length_b 6.445
_cell_length_c 6.445
_cell_angle_alpha 90.00
_cell_angle_beta 90.00
_cell_angle_gamma 90.00
loop_
_atom_site_label
_atom_site_type_symbol
_atom_site_fract_x
_atom_site_fract_y
_atom_site_fract_z
Ag1 Ag 0.000 0.000 0.000
Ge1 Ge 0.000 0.000 0.500
Ge2 Ge 0.250 0.250 0.250
Os1 Os 0.250 0.250 0.750
```

raw total energy	-5.131	eV per atom
crystal system	cubic

***

Entry 7:
First-principles (PBE-GGA) data for an optimized crystal structure of Ag3Sn2Ge3P6, as listed in OQMD.

Geometry as CIF:
```
data_Ag3Sn2Ge3P6
_space_group_name_H-M_alt 'I -4 3 m'
_space_group_IT_number 217
_space_group_name_Hall 'I -4 2 3'
_cell_length_a 10.611
_cell_length_b 10.611
_cell_length_c 10.611
_cell_angle_alpha 90.00
_cell_angle_beta 90.00
_cell_angle_gamma 90.00
loop_
_atom_site_label
_atom_site_type_symbol
_atom_site_fract_x
_atom_site_fract_y
_atom_site_fract_z
Ag1 Ag 0.000 0.000 0.196
Sn1 Sn 0.205 0.205 0.795
Ge1 Ge 0.000 0.250 0.500
P1 P 0.126 0.126 0.365
```

raw total energy	-4.533	eV per atom
crystal system	cubic

***

Entry 8:
First-principles (PBE-GGA) data for an optimized crystal structure of AgGe2Pb, as listed in OQMD.

Geometry as CIF:
```
data_AgGe2Pb
_space_group_name_H-M_alt 'F -4 3 m'
_space_group_IT_number 216
_space_group_name_Hall 'F -4 2 3'
_cell_length_a 7.104
_cell_length_b 7.104
_cell_length_c 7.104
_cell_angle_alpha 90.00
_cell_angle_beta 90.00
_cell_angle_gamma 90.00
loop_
_atom_site_label
_atom_site_type_symbol
_atom_site_fract_x
_atom_site_fract_y
_atom_site_fract_z
Ag1 Ag 0.000 0.000 0.000
Ge1 Ge 0.000 0.000 0.500
Ge2 Ge 0.250 0.250 0.250
Pb1 Pb 0.250 0.250 0.750
```

raw total energy	-3.638	eV per atom
crystal system	cubic

***

Entry 9:
First-principles (PBE-GGA) data for an optimized crystal structure of AgGePb2, as listed in OQMD.

Geometry as CIF:
```
data_AgGePb2
_space_group_name_H-M_alt 'F -4 3 m'
_space_group_IT_number 216
_space_group_name_Hall 'F -4 2 3'
_cell_length_a 7.418
_cell_length_b 7.418
_cell_length_c 7.418
_cell_angle_alpha 90.00
_cell_angle_beta 90.00
_cell_angle_gamma 90.00
loop_
_atom_site_label
_atom_site_type_symbol
_atom_site_fract_x
_atom_site_fract_y
_atom_site_fract_z
Ag1 Ag 0.000 0.000 0.000
Ge1 Ge 0.250 0.250 0.750
Pb1 Pb 0.000 0.000 0.500
Pb2 Pb 0.250 0.250 0.250
```

raw total energy	-3.444	eV per atom
crystal system	cubic

***

Entry 10:
First-principles (PBE-GGA) data for an optimized crystal structure of Ag2Ge3Pb2, as listed in OQMD.

Geometry as CIF:
```
data_Ag2Ge3Pb2
_space_group_name_H-M_alt 'R 3 m'
_space_group_IT_number 160
_space_group_name_Hall 'R 3 -2"'
_cell_length_a 4.9584
_cell_length_b 4.9584
_cell_length_c 23.7366
_cell_angle_alpha 90.00
_cell_angle_beta 90.00
_cell_angle_gamma 120.00
loop_
_atom_site_label
_atom_site_type_symbol
_atom_site_fract_x
_atom_site_fract_y
_atom_site_fract_z
Ag1 Ag 0.0000 0.0000 0.0000
Ag2 Ag 0.0000 0.0000 0.4937
Ge1 Ge 0.0000 0.0000 0.3704
Ge2 Ge 0.0000 0.0000 0.6266
Ge3 Ge 0.0000 0.0000 0.8749
Pb1 Pb 0.0000 0.0000 0.2366
Pb2 Pb 0.0000 0.0000 0.7532
```

raw total energy	-3.558	eV per atom
crystal system	trigonal

***

Entry 11:
First-principles (PBE-GGA) data for an optimized crystal structure of Pr2Ag2GePb, as listed in OQMD.

Geometry as CIF:
```
data_Pr2Ag2GePb
_space_group_name_H-M_alt 'P 3 m 1'
_space_group_IT_number 156
_cell_length_a 4.7720
_cell_length_b 4.7720
_cell_length_c 7.7089
_cell_angle_alpha 90.00
_cell_angle_beta 90.00
_cell_angle_gamma 120.00
loop_
_space_group_symop_operation_xyz
'x,y,z'
'-y,x-y,z'
'-x+y,-x,z'
'-y,-x,z'
'-x+y,y,z'
'x,x-y,z'
loop_
_atom_site_label
_atom_site_type_symbol
_atom_site_fract_x
_atom_site_fract_y
_atom_site_fract_z
Pr1 Pr 0.0000 0.0000 0.0000
Pr2 Pr 0.0000 0.0000 0.4816
Ag1 Ag 0.3333 0.6667 0.2105
Ag2 Ag 0.6667 0.3333 0.6829
Ge1 Ge 0.6667 0.3333 0.2802
Pb1 Pb 0.3333 0.6667 0.7755
```

raw total energy	-4.436	eV per atom
crystal system	trigonal

***

Entry 12:
First-principles (PBE-GGA) data for an optimized crystal structure of Sc2Ag2GePb, as listed in OQMD.

Geometry as CIF:
```
data_Sc2Ag2GePb
_space_group_name_H-M_alt 'P 1 m 1'
_space_group_IT_number 6
_cell_length_a 11.195
_cell_length_b 4.573
_cell_length_c 11.198
_cell_angle_alpha 90.00
_cell_angle_beta 109.53
_cell_angle_gamma 90.00
loop_
_space_group_symop_operation_xyz
'x,y,z'
'x,-y,z'
loop_
_atom_site_label
_atom_site_type_symbol
_atom_site_fract_x
_atom_site_fract_y
_atom_site_fract_z
Sc1 Sc 0.000 0.000 0.000
Sc2 Sc 0.111 0.500 0.372
Sc3 Sc 0.232 0.000 0.738
Sc4 Sc 0.376 0.500 0.136
Sc5 Sc 0.494 0.000 0.501
Sc6 Sc 0.620 0.500 0.865
Sc7 Sc 0.744 0.000 0.255
Sc8 Sc 0.862 0.500 0.619
Ag1 Ag 0.130 0.500 0.134
Ag2 Ag 0.232 0.000 0.484
Ag3 Ag 0.366 0.500 0.873
Ag4 Ag 0.496 0.000 0.261
Ag5 Ag 0.623 0.500 0.619
Ag6 Ag 0.745 0.000 0.987
Ag7 Ag 0.865 0.500 0.380
Ag8 Ag 0.979 0.000 0.737
Ge1 Ge 0.246 0.000 0.248
Ge2 Ge 0.618 0.500 0.375
Ge3 Ge 0.739 0.000 0.743
Ge4 Ge 0.989 0.000 0.496
Pb1 Pb 0.114 0.500 0.872
Pb2 Pb 0.365 0.500 0.619
Pb3 Pb 0.495 0.000 0.001
Pb4 Pb 0.869 0.500 0.123
```

raw total energy	-4.727	eV per atom
crystal system	monoclinic